The following is a PBE calculation of YBeB after structural relaxation, from Alexandria.

Properties
Relative energy among the computed polymorphs   0.078 eV/atom
DFT formation energy   -0.2108 eV per atom
Uncorrected energy   -5.8333 eV/atom
DOS at the Fermi energy   4.56 states/eV per cell
Spin magnetization   0.00 μB/f.u.
Symmetry   No. 194

a b c (Å): 3.576 3.576 7.700
angles (deg): 90.00 90.00 120.00
Sites, in units of the cell vectors:
Y  0.000  0.000  0.000
Y  0.000  0.000  0.500
Be  0.333  0.667  0.250
Be  0.667  0.333  0.750
B  0.333  0.667  0.750
B  0.667  0.333  0.250